The following is a GGA+U calculation of a relaxed PuCo4Cu3O12 crystal, from Alexandria.

Computed properties:
* magnetization: 5.1 μB/cell
* total energy: -6.406 eV/atom

Structure (POSCAR):
```
PuCo4Cu3O12
1.0
-3.624 -5.003 -0.819
2.946 -0.442 5.474
-3.517 5.144 -0.056
O Pu Cu Co
12 1 3 4
direct
0.872 0.701 0.172
0.828 0.128 0.299
0.701 0.828 0.529
0.172 0.872 0.701
0.701 0.172 0.872
0.471 0.299 0.172
0.529 0.701 0.828
0.128 0.299 0.828
0.299 0.828 0.128
0.828 0.529 0.701
0.299 0.172 0.471
0.172 0.471 0.299
0.000 0.000 0.000
0.500 0.000 0.500
0.000 0.500 0.500
0.500 0.500 0.000
0.000 0.000 0.500
0.500 0.000 0.000
0.000 0.500 0.000
0.500 0.500 0.500
```